(1)
# Cu2TcPb, relaxed, DFT PBE
data_Cu2TcPb
_chemical_formula_sum 'Cu2 Tc1 Pb1'
_space_group_name_H-M_alt 'P 4/m m m'
_space_group_IT_number 123
_space_group_name_Hall '-P 4 2'
_cell_length_a 2.908
_cell_length_b 2.908
_cell_length_c 8.120
_cell_angle_alpha 90.00
_cell_angle_beta 90.00
_cell_angle_gamma 90.00
loop_
_atom_site_label
_atom_site_fract_x
_atom_site_fract_y
_atom_site_fract_z
_atom_site_occupancy
Cu1 0.000 0.000 0.204 1
Tc1 0.500 0.500 0.000 1
Pb1 0.500 0.500 0.500 1
# - Fermi-level density of states (states/eV/cell) = 2.65
# - calculated density (g cm⁻³) = 10.5
# - magnetic moment (μB per cell) = 0.0

(2)
# Tm8GeP3Se4, relaxed, DFT PBE
data_Tm8GeP3Se4
_chemical_formula_sum 'Tm24 Ge3 P9 Se12'
_space_group_name_H-M_alt 'R -3 m'
_space_group_IT_number 166
_space_group_name_Hall '-R 3 2"'
_cell_length_a 7.9865
_cell_length_b 7.9865
_cell_length_c 19.8294
_cell_angle_alpha 90.00
_cell_angle_beta 90.00
_cell_angle_gamma 120.00
loop_
_atom_site_label
_atom_site_fract_x
_atom_site_fract_y
_atom_site_fract_z
_atom_site_occupancy
Tm1 0.0000 0.0000 0.2424 1
Tm2 0.0019 0.5010 0.7566 1
Ge1 0.0000 0.0000 0.5000 1
P1 0.0000 0.5000 0.5000 1
Se1 0.0000 0.0000 0.0000 1
Se2 0.0000 0.5000 0.0000 1
# - Fermi-level density of states (states/eV/cell) = 13.03
# - calculated density (g cm⁻³) = 8.3
# - magnetic moment (μB per cell) = 0.0
# - formation energy from raw total energies (eV/atom) = -1.649

(3)
# Pm6Ir2AuCl3, relaxed, DFT PBE
data_Pm6Ir2AuCl3
_chemical_formula_sum 'Pm12 Ir4 Au2 Cl6'
_space_group_name_H-M_alt 'C 1 2/m 1'
_space_group_IT_number 12
_cell_length_a 7.203
_cell_length_b 12.543
_cell_length_c 7.821
_cell_angle_alpha 90.00
_cell_angle_beta 107.47
_cell_angle_gamma 90.00
loop_
_space_group_symop_operation_xyz
'x,y,z'
'-x,-y,-z'
'-x,y,-z'
'x,-y,z'
'x+1/2,y+1/2,z'
'-x+1/2,-y+1/2,-z'
'-x+1/2,y+1/2,-z'
'x+1/2,-y+1/2,z'
loop_
_atom_site_label
_atom_site_fract_x
_atom_site_fract_y
_atom_site_fract_z
_atom_site_occupancy
Pm1 0.214 0.000 0.207 1
Pm2 0.244 0.324 0.208 1
Ir1 0.000 0.166 0.000 1
Au1 0.000 0.500 0.000 1
Cl1 0.000 0.000 0.500 1
Cl2 0.000 0.324 0.500 1
# - Fermi-level density of states (states/eV/cell) = 17.13
# - calculated density (g cm⁻³) = 7.7
# - magnetic moment (μB per cell) = 0.0
# - formation energy from raw total energies (eV/atom) = -1.177

(4)
# CaSi2Os, relaxed, DFT PBE
data_CaSi2Os
_chemical_formula_sum 'Ca2 Si4 Os2'
_space_group_name_H-M_alt 'C m m m'
_space_group_IT_number 65
_space_group_name_Hall '-C 2 2'
_cell_length_a 5.562
_cell_length_b 7.611
_cell_length_c 3.090
_cell_angle_alpha 90.00
_cell_angle_beta 90.00
_cell_angle_gamma 90.00
loop_
_atom_site_label
_atom_site_fract_x
_atom_site_fract_y
_atom_site_fract_z
_atom_site_occupancy
Ca1 0.000 0.000 0.000 1
Si1 0.250 0.250 0.500 1
Os1 0.000 0.500 0.000 1
# - Fermi-level density of states (states/eV/cell) = 3.12
# - calculated density (g cm⁻³) = 7.3
# - magnetic moment (μB per cell) = 0.0
# - formation energy from raw total energies (eV/atom) = 0.301

Here are the calculated total DFT energy (no corrections) numbers, same order: -5.046 -6.059 -5.764 -5.718 (eV per atom).